CsHoO2: optimized geometry, PBE.

Structure (CIF):
```
data_CsHoO2
_chemical_formula_sum 'Cs2 Ho2 O4'
_symmetry_space_group_name_H-M 'P 1'
_symmetry_Int_Tables_number 1
_symmetry_space_group_name_Hall 'P 1'
_cell_length_a 3.541
_cell_length_b 3.541
_cell_length_c 13.726
_cell_angle_alpha 90.00
_cell_angle_beta 90.00
_cell_angle_gamma 120.00
loop_
_atom_site_label
_atom_site_type_symbol
_atom_site_fract_x
_atom_site_fract_y
_atom_site_fract_z
Cs1 Cs 0.333 0.667 0.250
Cs2 Cs 0.667 0.333 0.750
Ho1 Ho 0.000 0.000 0.000
Ho2 Ho 0.000 0.000 0.500
O1 O 0.333 0.667 0.582
O2 O 0.333 0.667 0.918
O3 O 0.667 0.333 0.082
O4 O 0.667 0.333 0.418
```

Summary:
Total moment   0.00 μB/atom
ρ   7.348 Mg/m³
E   -51.81 eV for the cell shown
Formation energy (no corrections)   -2.639 eV per atom
Crystal system   hexagonal